Here is a relaxed structure of Rb3TiCl7 from Alexandria. Energies are from PBE.

Geometry as POSCAR:
```
Rb3TiCl7
1.0
-2.304 -2.178 6.263
-7.002 -5.521 -4.496
6.321 -7.722 -0.361
Cl Ti Rb
14 2 6
Direct
0.000 0.833 0.333
0.000 0.667 0.833
0.000 0.333 0.167
0.761 0.117 0.383
0.761 0.883 0.617
0.239 0.883 0.617
0.500 0.500 0.500
0.239 0.617 0.117
0.500 0.000 0.000
0.000 0.167 0.667
0.239 0.117 0.383
0.239 0.383 0.883
0.761 0.617 0.117
0.761 0.383 0.883
0.000 0.000 0.500
0.000 0.500 0.000
0.500 0.179 0.679
0.500 0.321 0.179
0.500 0.821 0.321
0.000 0.500 0.500
0.500 0.679 0.821
0.000 0.000 0.000
```

Results
ρ = 2.62 g cm⁻³
magnetization = 0.3 Bohr magnetons per cell
formation energy without anion corrections = -1798 meV/atom